The following is a DFT calculation (PBE) of crystalline PuPtAu at its relaxed geometry.

```
3
Lattice="-2.182 -1.988 0.304 0.984 -0.359 4.727 -3.202 3.277 -1.564" Properties=species:S:1:pos:R:3 pbc="T T T"
Au -0.773 0.524 2.680
Pt -0.366 -0.333 0.051
Pu -3.261 0.740 0.735
```

Calculated values
- Density of states at the Fermi level: 8.3 states/eV/f.u.
- Energy of formation: -0.5477 eV per atom
- Offset from the most stable computed form: 0.00 eV per formula unit
- Final energy: -25.293 eV/f.u.